A geometry-optimized BrCl3 structure, computed with PBE-GGA.

It has space group P6_3/mmc (No. 194), with a = 9.6472 Å, b = 9.6472 Å, c = 3.6833 Å, α = 90.00°, β = 90.00° and γ = 120.00°. Symmetry generates all atoms from Br at (0.3333, 0.6667, 0.2500) and Cl at (0.2143, 0.4285, 0.7500).

The calculation puts the density of states at the Fermi level at 8.63 states/eV per cell. The value obtained for the density is 2.08 g cm⁻³. Its uncorrected formation energy is 0.581 eV per atom. As for the total energy: -1.22 eV/atom.

A geometry-optimized CaHg2Te structure, computed with PBE-GGA.

It has space group I-42d (No. 122), with a = 8.913 Å, b = 8.913 Å, c = 6.117 Å, α = 90.00°, β = 90.00° and γ = 90.00°. Symmetry generates all atoms from Ca at (0.000, 0.000, 0.000), Hg at (0.244, 0.250, 0.625) and Te at (0.000, 0.000, 0.500).

The calculation puts the density of states at the Fermi level at 0.16 states/eV per cell. The value obtained for the density is 7.78 g cm⁻³. Its uncorrected formation energy is -0.538 eV per atom. As for the total energy: -1.97 eV/atom.

A geometry-optimized Na2PdPt2O6 structure, computed with PBE-GGA.

It has space group C2/m (No. 12), with a = 5.339 Å, b = 10.103 Å, c = 5.632 Å, α = 90.00°, β = 107.35° and γ = 90.00°. Symmetry generates all atoms from Na at (0.000, 0.158, 0.000), Pd at (0.000, 0.000, 0.500), Pt at (0.000, 0.336, 0.500), O at (0.227, 0.500, 0.681) and O at (0.228, 0.188, 0.696).

The calculation puts the density of states at the Fermi level at 10.53 states/eV per cell. The value obtained for the density is 7.31 g cm⁻³. Its uncorrected formation energy is -0.759 eV per atom. As for the total energy: -5.27 eV/atom.

A geometry-optimized Cd2In2Pb structure, computed with PBE-GGA.

It has space group P4/mbm (No. 127), with a = 8.662 Å, b = 8.662 Å, c = 3.594 Å, α = 90.00°, β = 90.00° and γ = 90.00°. Symmetry generates all atoms from Cd at (0.169, 0.331, 0.000), In at (0.131, 0.631, 0.500) and Pb at (0.000, 0.000, 0.500).

The calculation puts the density of states at the Fermi level at 5.06 states/eV per cell. The value obtained for the density is 8.15 g cm⁻³. As for the formation energy from the elements: 80 meV/atom. As for the total energy: -2.12 eV/atom. Its energy above the most stable polymorph in this dataset is 49 meV/atom.

A geometry-optimized CsUSb2 structure, computed with PBE-GGA.

It has space group P4/mmm (No. 123), with a = 3.804 Å, b = 3.804 Å, c = 9.373 Å, α = 90.00°, β = 90.00° and γ = 90.00°. Symmetry generates all atoms from Cs at (0.000, 0.000, 0.000), U at (0.000, 0.000, 0.500) and Sb at (0.500, 0.500, 0.309).

The calculation puts the density of states at the Fermi level at 3.27 states/eV per cell. The value obtained for the density is 7.52 g cm⁻³. Its uncorrected formation energy is -0.224 eV per atom. As for the total energy: -5.32 eV/atom.

A geometry-optimized NaCe2Zr structure, computed with PBE-GGA.

It has space group R-3m (No. 166, hexagonal axes), with a = 3.1937 Å, b = 3.1937 Å, c = 37.5732 Å, α = 90.00°, β = 90.00° and γ = 120.00°. Symmetry generates all atoms from Na at (0.0000, 0.0000, 0.0000), Ce at (0.0000, 0.0000, 0.0927) and Zr at (0.0000, 0.0000, 0.5000).

The calculation puts the density of states at the Fermi level at 30.17 states/eV per cell. The value obtained for the density is 5.92 g cm⁻³. As for the formation energy from the elements: 208 meV/atom. As for the total energy: -5.23 eV/atom.